Compound: AcGa2Sb
Source: Alexandria via LeMat-Bulk
Functional: PBE
Structure: optimized geometry

Calculated values
For the density of states at the Fermi level, the calculation gives 3.35 states/eV/f.u. As for the total DFT energy (no corrections): -15.4 eV per cell. The uncorrected formation energy comes out at -267.7 meV/atom.

Unit cell a=5.3422 b=5.3422 c=5.3422 alpha=60.00 beta=60.00 gamma=60.00
Last column: nearest neighbours and their distance in Å.
Positions (direct):
1 Sb 0.5000 0.5000 0.5000  8 Ga 3.27
2 Ac 0.0000 0.0000 0.0000  8 Ga 3.27
3 Ga 0.2500 0.2500 0.2500  4 Ac 3.27, 4 Sb 3.27
4 Ga 0.7500 0.7500 0.7500  4 Ac 3.27, 4 Sb 3.27

Compound: Ac3GaSb
Source: Alexandria via LeMat-Bulk
Functional: PBE
Structure: optimized geometry

Calculated values
For the density of states at the Fermi level, the calculation gives 4.50 states/eV/f.u. As for the total DFT energy (no corrections): -20.5 eV per cell. The uncorrected formation energy comes out at -203.9 meV/atom.

Unit cell a=5.9353 b=5.9353 c=5.9353 alpha=90.00 beta=90.00 gamma=90.00
Last column: nearest neighbours and their distance in Å.
Positions (direct):
1 Sb 0.5000 0.5000 0.5000  12 Ac 4.20
2 Ac 0.0000 0.5000 0.0000  2 Ga 2.97
3 Ac 0.0000 0.0000 0.5000  2 Ga 2.97
4 Ac 0.5000 0.0000 0.0000  2 Ga 2.97
5 Ga 0.0000 0.0000 0.0000  6 Ac 2.97

Compound: Ac4GaSb3
Source: Alexandria via LeMat-Bulk
Functional: PBE
Structure: optimized geometry

Calculated values
For the density of states at the Fermi level, the calculation gives 5.42 states/eV/f.u. As for the total DFT energy (no corrections): -39.3 eV per cell. The uncorrected formation energy comes out at -929.3 meV/atom.

Unit cell a=6.7426 b=6.7426 c=6.7426 alpha=90.00 beta=90.00 gamma=90.00
Last column: nearest neighbours and their distance in Å.
Positions (direct):
1 Sb 0.0000 0.5000 0.5000  6 Ac 3.37
2 Sb 0.5000 0.0000 0.5000  6 Ac 3.37
3 Sb 0.5000 0.5000 0.0000  6 Ac 3.37
4 Ac 0.5000 0.0000 0.0000  4 Sb 3.37, 2 Ga 3.37
5 Ac 0.0000 0.5000 0.0000  4 Sb 3.37, 2 Ga 3.37
6 Ac 0.0000 0.0000 0.5000  4 Sb 3.37, 2 Ga 3.37
7 Ac 0.5000 0.5000 0.5000  6 Sb 3.37
8 Ga 0.0000 0.0000 0.0000  6 Ac 3.37

Compound: AcGaSb2
Source: Alexandria via LeMat-Bulk
Functional: PBE
Structure: optimized geometry

Calculated values
For the density of states at the Fermi level, the calculation gives 1.56 states/eV/f.u. As for the total DFT energy (no corrections): -35.1 eV per cell. The uncorrected formation energy comes out at -547.9 meV/atom.

Unit cell a=4.8663 b=4.8663 c=10.0209 alpha=90.00 beta=90.00 gamma=90.00
Last column: nearest neighbours and their distance in Å.
Positions (direct):
1 Ac 0.0000 0.5000 0.2578  8 Sb 3.44-3.61, 4 Ga 3.55
2 Ac 0.5000 0.0000 0.7422  8 Sb 3.44-3.61, 4 Ga 3.55
3 Ga 0.5000 0.5000 0.0000  4 Sb 2.86
4 Ga 0.0000 0.0000 0.0000  4 Sb 2.86
5 Sb 0.5000 0.0000 0.1497  4 Ga 2.86
6 Sb 0.0000 0.5000 0.8503  4 Ga 2.86
7 Sb 0.0000 0.0000 0.5000  4 Ac 3.44, 4 Sb 3.44
8 Sb 0.5000 0.5000 0.5000  4 Ac 3.44, 4 Sb 3.44